--- P ---
{
  "formula": "PmSm2Cu",
  "functional": "GGA-PBE",
  "state": "relaxed",
  "lattice_angstrom": [[3.656, 0.000, 0.000], [-1.828, 3.166, 0.000], [0.000, 0.000, 30.408]],
  "species": ["Pm", "Pm", "Pm", "Sm", "Sm", "Sm", "Sm", "Sm", "Sm", "Cu", "Cu", "Cu"],
  "fractional_positions": [[0.000, 0.000, 0.000], [0.333, 0.667, 0.667], [0.667, 0.333, 0.333], [0.000, 0.000, 0.235], [0.000, 0.000, 0.765], [0.333, 0.667, 0.432], [0.333, 0.667, 0.901], [0.667, 0.333, 0.099], [0.667, 0.333, 0.568], [0.000, 0.000, 0.500], [0.333, 0.667, 0.167], [0.667, 0.333, 0.833]],
  "sg": "R-3m, No. 166",
  "vol_a3_per_fu": 117,
  "dos_at_fermi_per_ev_atom": 1.18
}

--- Q ---
{
  "formula": "PmSm2Cu",
  "functional": "GGA-PBE",
  "state": "relaxed",
  "lattice_angstrom": [[6.969, 0.000, 0.000], [0.000, 10.036, 0.000], [0.000, 0.000, 6.573]],
  "species": ["Pm", "Pm", "Pm", "Pm", "Sm", "Sm", "Sm", "Sm", "Sm", "Sm", "Sm", "Sm", "Cu", "Cu", "Cu", "Cu"],
  "fractional_positions": [[0.018, 0.250, 0.138], [0.482, 0.750, 0.638], [0.518, 0.250, 0.362], [0.982, 0.750, 0.862], [0.189, 0.059, 0.677], [0.189, 0.441, 0.677], [0.311, 0.559, 0.177], [0.311, 0.941, 0.177], [0.689, 0.059, 0.823], [0.689, 0.441, 0.823], [0.811, 0.559, 0.323], [0.811, 0.941, 0.323], [0.103, 0.750, 0.435], [0.397, 0.250, 0.935], [0.603, 0.750, 0.065], [0.897, 0.250, 0.565]],
  "sg": "Pnma, No. 62",
  "vol_a3_per_fu": 115,
  "dos_at_fermi_per_ev_atom": 1.15
}

Which structure loses on stability? P does.

--- P ---
{
  "formula": "Pm2SmCu",
  "functional": "GGA-PBE",
  "state": "relaxed",
  "lattice_angstrom": [[3.553, 0.000, 0.000], [-1.776, 3.077, 0.000], [0.000, 0.000, 33.248]],
  "species": ["Pm", "Pm", "Pm", "Pm", "Pm", "Pm", "Sm", "Sm", "Sm", "Cu", "Cu", "Cu"],
  "fractional_positions": [[0.000, 0.000, 0.104], [0.000, 0.000, 0.896], [0.333, 0.667, 0.562], [0.333, 0.667, 0.771], [0.667, 0.333, 0.229], [0.667, 0.333, 0.438], [0.000, 0.000, 0.000], [0.333, 0.667, 0.667], [0.667, 0.333, 0.333], [0.000, 0.000, 0.500], [0.333, 0.667, 0.167], [0.667, 0.333, 0.833]],
  "sg": "R-3m, No. 166",
  "vol_a3_per_fu": 121,
  "dos_at_fermi_per_ev_atom": 1.76
}

--- Q ---
{
  "formula": "Pm2SmCu",
  "functional": "GGA-PBE",
  "state": "relaxed",
  "lattice_angstrom": [[3.708, 0.000, 0.000], [-1.854, 3.211, 0.000], [0.000, 0.000, 30.044]],
  "species": ["Pm", "Pm", "Pm", "Pm", "Pm", "Pm", "Sm", "Sm", "Sm", "Cu", "Cu", "Cu"],
  "fractional_positions": [[0.000, 0.000, 0.000], [0.000, 0.000, 0.198], [0.333, 0.667, 0.667], [0.333, 0.667, 0.865], [0.667, 0.333, 0.333], [0.667, 0.333, 0.531], [0.000, 0.000, 0.766], [0.333, 0.667, 0.433], [0.667, 0.333, 0.099], [0.000, 0.000, 0.599], [0.333, 0.667, 0.266], [0.667, 0.333, 0.932]],
  "sg": "R3m, No. 160",
  "vol_a3_per_fu": 119,
  "dos_at_fermi_per_ev_atom": 1.27
}

Which structure loses on stability? P does.

--- P ---
{
  "formula": "Pm4CuSn2",
  "functional": "GGA-PBE",
  "state": "relaxed",
  "lattice_angstrom": [[5.115, 0.000, 0.000], [0.000, 5.115, 0.000], [0.000, 0.000, 16.945]],
  "species": ["Pm", "Pm", "Pm", "Pm", "Pm", "Pm", "Pm", "Pm", "Cu", "Cu", "Sn", "Sn", "Sn", "Sn"],
  "fractional_positions": [[0.000, 0.000, 0.179], [0.000, 0.000, 0.821], [0.000, 0.500, 0.000], [0.000, 0.500, 0.500], [0.500, 0.000, 0.000], [0.500, 0.000, 0.500], [0.500, 0.500, 0.321], [0.500, 0.500, 0.679], [0.000, 0.000, 0.000], [0.500, 0.500, 0.500], [0.000, 0.000, 0.366], [0.000, 0.000, 0.634], [0.500, 0.500, 0.134], [0.500, 0.500, 0.866]],
  "sg": "I4/mmm, No. 139",
  "vol_a3_per_fu": 222,
  "dos_at_fermi_per_ev_atom": 0.57
}

--- Q ---
{
  "formula": "Pm4CuSn2",
  "functional": "GGA-PBE",
  "state": "relaxed",
  "lattice_angstrom": [[11.608, 0.000, 0.000], [0.000, 4.656, 0.000], [-4.701, 0.000, 7.573]],
  "species": ["Pm", "Pm", "Pm", "Pm", "Pm", "Pm", "Pm", "Pm", "Cu", "Cu", "Sn", "Sn", "Sn", "Sn"],
  "fractional_positions": [[0.077, 0.000, 0.362], [0.176, 0.500, 0.067], [0.324, 0.000, 0.933], [0.423, 0.500, 0.638], [0.577, 0.500, 0.362], [0.676, 0.000, 0.067], [0.824, 0.500, 0.933], [0.923, 0.000, 0.638], [0.000, 0.000, 0.000], [0.500, 0.500, 0.000], [0.145, 0.500, 0.659], [0.355, 0.000, 0.341], [0.645, 0.000, 0.659], [0.855, 0.500, 0.341]],
  "sg": "C2/m, No. 12",
  "vol_a3_per_fu": 205,
  "dos_at_fermi_per_ev_atom": 1.12
}

Which structure loses on stability? P does.

--- P ---
{
  "formula": "PmCuSn2",
  "functional": "GGA-PBE",
  "state": "relaxed",
  "lattice_angstrom": [[5.456, 0.000, 0.000], [-2.728, 4.725, 0.000], [0.000, 0.000, 11.526]],
  "species": ["Pm", "Pm", "Pm", "Cu", "Cu", "Cu", "Sn", "Sn", "Sn", "Sn", "Sn", "Sn"],
  "fractional_positions": [[0.000, 0.000, 0.000], [0.333, 0.667, 0.667], [0.667, 0.333, 0.333], [0.000, 0.000, 0.500], [0.333, 0.667, 0.167], [0.667, 0.333, 0.833], [0.000, 0.000, 0.270], [0.000, 0.000, 0.730], [0.333, 0.667, 0.397], [0.333, 0.667, 0.936], [0.667, 0.333, 0.064], [0.667, 0.333, 0.603]],
  "sg": "R-3m, No. 166",
  "vol_a3_per_fu": 99,
  "dos_at_fermi_per_ev_atom": 0.65
}

--- Q ---
{
  "formula": "PmCuSn2",
  "functional": "GGA-PBE",
  "state": "relaxed",
  "lattice_angstrom": [[4.574, 0.000, 0.000], [0.000, 4.574, 0.000], [0.000, 0.000, 4.462]],
  "species": ["Pm", "Cu", "Sn", "Sn"],
  "fractional_positions": [[0.000, 0.000, 0.000], [0.500, 0.500, 0.000], [0.000, 0.500, 0.500], [0.500, 0.000, 0.500]],
  "sg": "P4/mmm, No. 123",
  "vol_a3_per_fu": 93,
  "dos_at_fermi_per_ev_atom": 0.33
}

--- R ---
{
  "formula": "PmCuSn2",
  "functional": "GGA-PBE",
  "state": "relaxed",
  "lattice_angstrom": [[4.348, 0.000, 0.000], [0.000, 18.809, 0.000], [0.000, 0.000, 4.672]],
  "species": ["Pm", "Pm", "Pm", "Pm", "Cu", "Cu", "Cu", "Cu", "Sn", "Sn", "Sn", "Sn", "Sn", "Sn", "Sn", "Sn"],
  "fractional_positions": [[0.000, 0.105, 0.250], [0.000, 0.895, 0.750], [0.500, 0.395, 0.750], [0.500, 0.605, 0.250], [0.000, 0.326, 0.250], [0.000, 0.674, 0.750], [0.500, 0.174, 0.750], [0.500, 0.826, 0.250], [0.000, 0.253, 0.750], [0.000, 0.458, 0.250], [0.000, 0.542, 0.750], [0.000, 0.747, 0.250], [0.500, 0.042, 0.750], [0.500, 0.247, 0.250], [0.500, 0.753, 0.750], [0.500, 0.958, 0.250]],
  "sg": "Cmcm, No. 63",
  "vol_a3_per_fu": 96,
  "dos_at_fermi_per_ev_atom": 0.30
}

--- S ---
{
  "formula": "PmCuSn2",
  "functional": "GGA-PBE",
  "state": "relaxed",
  "lattice_angstrom": [[4.453, 0.000, 0.000], [0.000, 4.453, 0.000], [0.000, 0.000, 9.575]],
  "species": ["Pm", "Pm", "Cu", "Cu", "Sn", "Sn", "Sn", "Sn"],
  "fractional_positions": [[0.250, 0.250, 0.232], [0.750, 0.750, 0.768], [0.250, 0.750, 0.000], [0.750, 0.250, 0.000], [0.250, 0.250, 0.839], [0.250, 0.750, 0.500], [0.750, 0.250, 0.500], [0.750, 0.750, 0.161]],
  "sg": "P4/nmm, No. 129",
  "vol_a3_per_fu": 95,
  "dos_at_fermi_per_ev_atom": 0.65
}

Which structure loses on stability? P does.

--- P ---
{
  "formula": "PmCuSn",
  "functional": "GGA-PBE",
  "state": "relaxed",
  "lattice_angstrom": [[4.555, 0.000, 0.000], [-2.278, 3.945, 0.000], [0.000, 0.000, 3.891]],
  "species": ["Pm", "Cu", "Sn"],
  "fractional_positions": [[0.000, 0.000, 0.000], [0.333, 0.667, 0.500], [0.667, 0.333, 0.500]],
  "sg": "P-6m2, No. 187",
  "vol_a3_per_fu": 70,
  "dos_at_fermi_per_ev_atom": 0.71
}

--- Q ---
{
  "formula": "PmCuSn",
  "functional": "GGA-PBE",
  "state": "relaxed",
  "lattice_angstrom": [[6.601, 0.000, 0.000], [0.000, 6.601, 0.000], [0.000, 0.000, 6.601]],
  "species": ["Pm", "Pm", "Pm", "Pm", "Cu", "Cu", "Cu", "Cu", "Sn", "Sn", "Sn", "Sn"],
  "fractional_positions": [[0.000, 0.000, 0.000], [0.000, 0.500, 0.500], [0.500, 0.000, 0.500], [0.500, 0.500, 0.000], [0.250, 0.250, 0.750], [0.250, 0.750, 0.250], [0.750, 0.250, 0.250], [0.750, 0.750, 0.750], [0.000, 0.000, 0.500], [0.000, 0.500, 0.000], [0.500, 0.000, 0.000], [0.500, 0.500, 0.500]],
  "sg": "F-43m, No. 216",
  "vol_a3_per_fu": 72,
  "dos_at_fermi_per_ev_atom": 0.23
}

Which structure loses on stability? P does.

--- P ---
{
  "formula": "PmCuSn",
  "functional": "GGA-PBE",
  "state": "relaxed",
  "lattice_angstrom": [[5.957, 0.000, 0.000], [0.000, 6.181, 0.000], [-3.140, 0.000, 7.614]],
  "species": ["Pm", "Pm", "Pm", "Pm", "Cu", "Cu", "Cu", "Cu", "Sn", "Sn", "Sn", "Sn"],
  "fractional_positions": [[0.205, 0.133, 0.377], [0.205, 0.367, 0.877], [0.795, 0.633, 0.123], [0.795, 0.867, 0.623], [0.378, 0.577, 0.262], [0.378, 0.923, 0.762], [0.622, 0.077, 0.238], [0.622, 0.423, 0.738], [0.228, 0.629, 0.522], [0.228, 0.871, 0.022], [0.772, 0.129, 0.978], [0.772, 0.371, 0.478]],
  "sg": "P2_1/c, No. 14",
  "vol_a3_per_fu": 70,
  "dos_at_fermi_per_ev_atom": 0.78
}

--- Q ---
{
  "formula": "PmCuSn",
  "functional": "GGA-PBE",
  "state": "relaxed",
  "lattice_angstrom": [[4.144, 0.000, 0.000], [0.000, 4.144, 0.000], [0.000, 0.000, 8.722]],
  "species": ["Pm", "Pm", "Cu", "Cu", "Sn", "Sn"],
  "fractional_positions": [[0.000, 0.000, 0.000], [0.500, 0.500, 0.500], [0.000, 0.000, 0.658], [0.500, 0.500, 0.158], [0.000, 0.000, 0.349], [0.500, 0.500, 0.849]],
  "sg": "I4mm, No. 107",
  "vol_a3_per_fu": 75,
  "dos_at_fermi_per_ev_atom": 0.79
}

Which structure loses on stability? Q does.

--- P ---
{
  "formula": "PmCu9Sn2",
  "functional": "GGA-PBE",
  "state": "relaxed",
  "lattice_angstrom": [[2.559, 1.478, 8.142], [-2.559, 1.478, 8.142], [0.000, -2.955, 8.142]],
  "species": ["Pm", "Cu", "Cu", "Cu", "Cu", "Cu", "Cu", "Cu", "Cu", "Cu", "Sn", "Sn"],
  "fractional_positions": [[0.000, 0.000, 0.000], [0.081, 0.586, 0.586], [0.334, 0.334, 0.334], [0.414, 0.414, 0.919], [0.414, 0.919, 0.414], [0.500, 0.500, 0.500], [0.586, 0.081, 0.586], [0.586, 0.586, 0.081], [0.666, 0.666, 0.666], [0.919, 0.414, 0.414], [0.140, 0.140, 0.140], [0.860, 0.860, 0.860]],
  "sg": "R-3m, No. 166",
  "vol_a3_per_fu": 185,
  "dos_at_fermi_per_ev_atom": 0.54
}

--- Q ---
{
  "formula": "PmCu9Sn2",
  "functional": "GGA-PBE",
  "state": "relaxed",
  "lattice_angstrom": [[8.521, 0.000, 0.000], [0.000, 8.521, 0.000], [0.000, 0.000, 5.016]],
  "species": ["Pm", "Pm", "Cu", "Cu", "Cu", "Cu", "Cu", "Cu", "Cu", "Cu", "Cu", "Cu", "Cu", "Cu", "Cu", "Cu", "Cu", "Cu", "Cu", "Cu", "Sn", "Sn", "Sn", "Sn"],
  "fractional_positions": [[0.000, 0.000, 0.000], [0.500, 0.500, 0.000], [0.000, 0.500, 0.500], [0.066, 0.204, 0.500], [0.172, 0.672, 0.247], [0.172, 0.672, 0.753], [0.204, 0.934, 0.500], [0.296, 0.434, 0.500], [0.328, 0.172, 0.247], [0.328, 0.172, 0.753], [0.434, 0.704, 0.500], [0.500, 0.000, 0.500], [0.566, 0.296, 0.500], [0.672, 0.828, 0.247], [0.672, 0.828, 0.753], [0.704, 0.566, 0.500], [0.796, 0.066, 0.500], [0.828, 0.328, 0.247], [0.828, 0.328, 0.753], [0.934, 0.796, 0.500], [0.130, 0.370, 0.000], [0.370, 0.870, 0.000], [0.630, 0.130, 0.000], [0.870, 0.630, 0.000]],
  "sg": "P4/mbm, No. 127",
  "vol_a3_per_fu": 182,
  "dos_at_fermi_per_ev_atom": 0.32
}

Which structure loses on stability? P does.

--- P ---
{
  "formula": "PmCu2Sn",
  "functional": "GGA-PBE",
  "state": "relaxed",
  "lattice_angstrom": [[4.527, 0.000, 0.000], [0.000, 4.527, 0.000], [0.000, 0.000, 3.965]],
  "species": ["Pm", "Cu", "Cu", "Sn"],
  "fractional_positions": [[0.000, 0.000, 0.000], [0.000, 0.500, 0.500], [0.500, 0.000, 0.500], [0.500, 0.500, 0.000]],
  "sg": "P4/mmm, No. 123",
  "vol_a3_per_fu": 81,
  "dos_at_fermi_per_ev_atom": 0.69
}

--- Q ---
{
  "formula": "PmCu2Sn",
  "functional": "GGA-PBE",
  "state": "relaxed",
  "lattice_angstrom": [[3.520, 0.000, 0.000], [0.000, 3.520, 0.000], [0.000, 0.000, 6.584]],
  "species": ["Pm", "Cu", "Cu", "Sn"],
  "fractional_positions": [[0.000, 0.000, 0.000], [0.500, 0.500, 0.274], [0.500, 0.500, 0.726], [0.000, 0.000, 0.500]],
  "sg": "P4/mmm, No. 123",
  "vol_a3_per_fu": 82,
  "dos_at_fermi_per_ev_atom": 0.46
}

--- R ---
{
  "formula": "PmCu2Sn",
  "functional": "GGA-PBE",
  "state": "relaxed",
  "lattice_angstrom": [[6.744, 0.000, 0.000], [0.000, 6.744, 0.000], [0.000, 0.000, 6.744]],
  "species": ["Pm", "Pm", "Pm", "Pm", "Cu", "Cu", "Cu", "Cu", "Cu", "Cu", "Cu", "Cu", "Sn", "Sn", "Sn", "Sn"],
  "fractional_positions": [[0.000, 0.000, 0.000], [0.000, 0.500, 0.500], [0.500, 0.000, 0.500], [0.500, 0.500, 0.000], [0.250, 0.250, 0.250], [0.250, 0.250, 0.750], [0.250, 0.750, 0.250], [0.250, 0.750, 0.750], [0.750, 0.250, 0.250], [0.750, 0.250, 0.750], [0.750, 0.750, 0.250], [0.750, 0.750, 0.750], [0.000, 0.000, 0.500], [0.000, 0.500, 0.000], [0.500, 0.000, 0.000], [0.500, 0.500, 0.500]],
  "sg": "Fm-3m, No. 225",
  "vol_a3_per_fu": 77,
  "dos_at_fermi_per_ev_atom": 0.54
}

Which structure loses on stability? Q does.

--- P ---
{
  "formula": "PmCu3Sn3",
  "functional": "GGA-PBE",
  "state": "relaxed",
  "lattice_angstrom": [[3.513, 2.028, 7.343], [-3.513, 2.028, 7.343], [0.000, -4.056, 7.343]],
  "species": ["Pm", "Pm", "Cu", "Cu", "Cu", "Cu", "Cu", "Cu", "Sn", "Sn", "Sn", "Sn", "Sn", "Sn"],
  "fractional_positions": [[0.162, 0.162, 0.162], [0.838, 0.838, 0.838], [0.022, 0.275, 0.837], [0.163, 0.978, 0.725], [0.275, 0.837, 0.022], [0.725, 0.163, 0.978], [0.837, 0.022, 0.275], [0.978, 0.725, 0.163], [0.114, 0.626, 0.479], [0.374, 0.521, 0.886], [0.479, 0.114, 0.626], [0.521, 0.886, 0.374], [0.626, 0.479, 0.114], [0.886, 0.374, 0.521]],
  "sg": "R-3, No. 148",
  "vol_a3_per_fu": 157,
  "dos_at_fermi_per_ev_atom": 0.39
}

--- Q ---
{
  "formula": "PmCu3Sn3",
  "functional": "GGA-PBE",
  "state": "relaxed",
  "lattice_angstrom": [[7.073, 0.000, 0.000], [0.000, 7.073, 0.000], [0.000, 0.000, 7.073]],
  "species": ["Pm", "Pm", "Cu", "Cu", "Cu", "Cu", "Cu", "Cu", "Sn", "Sn", "Sn", "Sn", "Sn", "Sn"],
  "fractional_positions": [[0.000, 0.000, 0.000], [0.500, 0.500, 0.500], [0.000, 0.250, 0.500], [0.000, 0.750, 0.500], [0.250, 0.500, 0.000], [0.500, 0.000, 0.250], [0.500, 0.000, 0.750], [0.750, 0.500, 0.000], [0.000, 0.500, 0.250], [0.000, 0.500, 0.750], [0.250, 0.000, 0.500], [0.500, 0.250, 0.000], [0.500, 0.750, 0.000], [0.750, 0.000, 0.500]],
  "sg": "Pm-3n, No. 223",
  "vol_a3_per_fu": 177,
  "dos_at_fermi_per_ev_atom": 0.58
}

Which structure loses on stability? Q does.

--- P ---
{
  "formula": "Pm2CuSn3",
  "functional": "GGA-PBE",
  "state": "relaxed",
  "lattice_angstrom": [[0.000, 4.605, 7.972], [4.237, 0.000, 7.972], [4.237, 4.605, 0.000]],
  "species": ["Pm", "Pm", "Pm", "Pm", "Cu", "Cu", "Sn", "Sn", "Sn", "Sn", "Sn", "Sn"],
  "fractional_positions": [[0.239, 0.761, 0.761], [0.250, 0.250, 0.250], [0.750, 0.750, 0.750], [0.761, 0.239, 0.239], [0.330, 0.330, 0.670], [0.670, 0.670, 0.330], [0.173, 0.173, 0.827], [0.182, 0.642, 0.358], [0.358, 0.818, 0.182], [0.642, 0.182, 0.818], [0.818, 0.358, 0.642], [0.827, 0.827, 0.173]],
  "sg": "Fmmm, No. 69",
  "vol_a3_per_fu": 156,
  "dos_at_fermi_per_ev_atom": 0.42
}

--- Q ---
{
  "formula": "Pm2CuSn3",
  "functional": "GGA-PBE",
  "state": "relaxed",
  "lattice_angstrom": [[4.354, 0.000, 0.000], [0.000, 4.896, 0.000], [0.000, 0.000, 16.262]],
  "species": ["Pm", "Pm", "Pm", "Pm", "Cu", "Cu", "Sn", "Sn", "Sn", "Sn", "Sn", "Sn"],
  "fractional_positions": [[0.000, 0.000, 0.150], [0.000, 0.000, 0.850], [0.500, 0.500, 0.350], [0.500, 0.500, 0.650], [0.000, 0.000, 0.500], [0.500, 0.500, 0.000], [0.000, 0.000, 0.342], [0.000, 0.000, 0.658], [0.000, 0.500, 0.500], [0.500, 0.000, 0.000], [0.500, 0.500, 0.158], [0.500, 0.500, 0.842]],
  "sg": "Immm, No. 71",
  "vol_a3_per_fu": 173,
  "dos_at_fermi_per_ev_atom": 0.43
}

Which structure loses on stability? Q does.